Entry from Alexandria: a PBEsol-optimized structure of MgSc2NiBi (SCAN).

Results
- formation energy from the elements (eV per formula unit) = 2.420

Cell lengths 4.715, 5.414, 5.414 Å; angles 90.00, 90.00, 90.00 degrees
Atoms (fractional coordinates):
Sc 0.000 0.000 0.500
Sc 0.000 0.500 0.000
Ni 0.500 0.000 0.000
Bi 0.000 0.000 0.000
Mg 0.500 0.500 0.500



Entry from Alexandria: a PBEsol-optimized structure of Sr2MgNiBi (SCAN).

Results
- formation energy from the elements (eV per formula unit) = 2.788

Cell lengths 5.146, 6.140, 6.140 Å; angles 90.00, 90.00, 90.00 degrees
Each line ends with the local moment (μB).
Atoms (fractional coordinates):
Ni 0.500 0.500 0.500  1.12
Sr 0.000 0.000 0.500  0.00
Sr 0.000 0.500 0.000  0.00
Mg 0.000 0.000 0.000  0.00
Bi 0.500 0.000 0.000  0.01



Entry from Alexandria: a PBEsol-optimized structure of MgBi2O (SCAN).

Results
- energy relative to the elements, uncorrected (kcal/mol of atoms) = 3.5

Cell lengths 4.891, 4.891, 4.891 Å; angles 60.00, 60.00, 60.00 degrees
Each line ends with the local moment (μB).
Atoms (fractional coordinates):
Mg 0.500 0.500 0.500  0.01
Bi 0.750 0.750 0.750  0.01
Bi 0.250 0.250 0.250  0.01
O 0.000 0.000 0.000  0.41



Summary of electronic total energy in Ry per atom
-1.849, -2.080, -3.082
(order as listed above)